Entry 1:
Material: Li2CdSb
Method: DFT, PBE-GGA
State: relaxed

Computed properties:
Magnetization: 0.000 μB/cell
Density of states at the Fermi level: 0.8 states/eV/f.u.
Raw formation energy: -0.31 eV per atom

Unit cell a=3.356 b=4.276 c=5.854 alpha=90.00 beta=90.00 gamma=90.00
Fractional positions:
Li  0.000  0.000  0.000
Li  0.500  0.500  0.285
Cd  0.500  0.500  0.799
Sb  0.000  0.000  0.491

Entry 2:
Material: ZrCdAg
Method: DFT, PBE-GGA
State: relaxed

Computed properties:
Magnetization: 0.003 μB/cell
Density of states at the Fermi level: 5.3 states/eV/f.u.
Formation energy from the elements: 0.20 eV per atom

Unit cell a=6.525 b=6.525 c=6.525 alpha=90.00 beta=90.00 gamma=90.00
Fractional positions:
Zr  0.000  0.000  0.000
Zr  0.000  0.500  0.500
Zr  0.500  0.000  0.500
Zr  0.500  0.500  0.000
Cd  0.000  0.000  0.500
Cd  0.000  0.500  0.000
Cd  0.500  0.000  0.000
Cd  0.500  0.500  0.500
Ag  0.250  0.250  0.250
Ag  0.250  0.750  0.750
Ag  0.750  0.250  0.750
Ag  0.750  0.750  0.250

Entry 3:
Material: KAgBr2
Method: DFT, PBE-GGA
State: relaxed

Computed properties:
Magnetization: 0.000 μB/cell
Raw formation energy: -0.82 eV per atom

Unit cell a=4.247 b=4.247 c=14.530 alpha=90.00 beta=90.00 gamma=90.00
Fractional positions:
K  0.000  0.000  0.000
K  0.500  0.500  0.500
Ag  0.000  0.500  0.750
Ag  0.500  0.000  0.250
Br  0.000  0.000  0.500
Br  0.000  0.500  0.250
Br  0.500  0.000  0.750
Br  0.500  0.500  0.000

Entry 4:
Material: ScAs2Se
Method: DFT, PBE-GGA
State: relaxed

Computed properties:
Magnetization: 0.000 μB/cell
Density of states at the Fermi level: 1.5 states/eV/f.u.
Raw formation energy: -0.64 eV per atom

Unit cell a=3.831 b=3.831 c=5.802 alpha=90.00 beta=90.00 gamma=90.00
Fractional positions:
Sc  0.000  0.000  0.000
As  0.000  0.000  0.526
As  0.500  0.500  0.567
Se  0.500  0.500  0.080

Entry 5:
Material: MnV3C
Method: DFT, PBE-GGA
State: relaxed

Computed properties:
Magnetization: 1.918 μB/cell
Density of states at the Fermi level: 5.8 states/eV/f.u.
Formation energy from the elements: -0.10 eV per atom

Unit cell a=2.784 b=4.034 c=5.402 alpha=90.00 beta=90.00 gamma=90.00
Fractional positions:
Mn  0.000  0.000  0.000
V  0.000  0.000  0.500
V  0.500  0.500  0.238
V  0.500  0.500  0.762
C  0.000  0.500  0.500

Entry 6:
Material: K2Rb2Sc
Method: DFT, PBE-GGA
State: relaxed

Computed properties:
Magnetization: 3.612 μB/cell
Density of states at the Fermi level: 7.6 states/eV/f.u.
Formation energy from the elements: 0.57 eV per atom

Unit cell a=10.067 b=10.067 c=6.666 alpha=90.00 beta=90.00 gamma=90.00
Fractional positions:
K  0.141  0.359  0.000
K  0.359  0.859  0.000
K  0.641  0.141  0.000
K  0.859  0.641  0.000
Rb  0.182  0.682  0.500
Rb  0.318  0.182  0.500
Rb  0.682  0.818  0.500
Rb  0.818  0.318  0.500
Sc  0.000  0.000  0.000
Sc  0.500  0.500  0.000

Entry 7:
Material: ZnGaHRh2
Method: DFT, PBE-GGA
State: relaxed

Computed properties:
Magnetization: 0.000 μB/cell
Density of states at the Fermi level: 1.6 states/eV/f.u.
Calculated total energy: -24.00 eV/cell

Unit cell a=4.041 b=4.041 c=3.590 alpha=90.00 beta=90.00 gamma=90.00
Fractional positions:
Zn  0.000  0.000  0.000
Ga  0.500  0.500  0.000
H  0.000  0.000  0.500
Rh  0.000  0.500  0.500
Rh  0.500  0.000  0.500

Entry 8:
Material: AcMg6In4
Method: DFT, PBE-GGA
State: relaxed

Computed properties:
Magnetization: 0.000 μB/cell
Density of states at the Fermi level: 2.1 states/eV/f.u.
Formation energy from the elements: -0.18 eV per atom

Unit cell a=8.338 b=8.338 c=4.667 alpha=90.00 beta=90.00 gamma=120.00
Fractional positions:
Ac  0.000  0.000  0.000
Mg  0.207  0.413  0.500
Mg  0.207  0.793  0.500
Mg  0.534  0.069  0.000
Mg  0.534  0.466  0.000
Mg  0.587  0.793  0.500
Mg  0.931  0.466  0.000
In  0.333  0.667  0.000
In  0.393  0.197  0.500
In  0.803  0.197  0.500
In  0.803  0.607  0.500

> What is the magnetization in the second record?

0.003 μB/cell